(1)
First-principles (PBE) data for an optimized crystal structure of Pr2HoPb, as listed in Alexandria.

The structure belongs to space group P4/mmm (No. 123); the cell edges are 4.942, 4.942 and 5.039 Å and the angles 90.00°, 90.00° and 90.00°. Symmetry generates all atoms from Pr at (0.000, 0.500, 0.000), Ho at (0.000, 0.000, 0.500) and Pb at (0.500, 0.500, 0.500).

The energy above the most stable polymorph in this dataset is 0 meV per atom. The electronic total energy comes out at -19.10 eV/cell. The formation energy comes out at -0.31 eV per atom. As for the total magnetization: 0.00 μB/f.u.

***

(2)
First-principles (PBE) data for an optimized crystal structure of Cs2KCd, as listed in Alexandria.

The structure belongs to space group R-3m (No. 166, hexagonal axes); the cell edges are 5.0048, 5.0048 and 43.1397 Å and the angles 90.00°, 90.00° and 120.00°. Symmetry generates all atoms from Cs at (0.0000, 0.0000, 0.1061), K at (0.0000, 0.0000, 0.0000) and Cd at (0.0000, 0.0000, 0.5000).

The energy above the most stable polymorph in this dataset is 89 meV per atom. The electronic total energy comes out at -10.25 eV/cell. The formation energy comes out at 0.08 eV per atom. As for the total magnetization: 0.00 μB/f.u.

***

(3)
First-principles (PBE) data for an optimized crystal structure of LaHfAg, as listed in Alexandria.

The structure belongs to space group P6_3/mmc (No. 194); the cell edges are 5.2389, 5.2389 and 6.1383 Å and the angles 90.00°, 90.00° and 120.00°. Symmetry generates all atoms from La at (0.3333, 0.6667, 0.2500), Hf at (0.3333, 0.6667, 0.7500) and Ag at (0.0000, 0.0000, 0.0000).

The energy above the most stable polymorph in this dataset is 491 meV per atom. The electronic total energy comes out at -32.73 eV/cell. The formation energy comes out at 0.46 eV per atom. As for the total magnetization: 0.00 μB/f.u.

***

(4)
First-principles (PBE) data for an optimized crystal structure of P2RuSeN, as listed in Alexandria.

The structure belongs to space group P1 (No. 1); the cell edges are 3.690, 4.782 and 5.942 Å and the angles 89.38°, 89.77° and 77.80°. Symmetry generates all atoms from P at (0.000, 0.000, 0.000), P at (0.027, 0.898, 0.527), Ru at (0.526, 0.882, 0.759), Se at (0.538, 0.393, 0.914) and N at (0.001, 0.957, 0.266).

The energy above the most stable polymorph in this dataset is 53 meV per atom. The value obtained for the uncorrected formation energy is -0.012 eV/atom. The electronic total energy comes out at -31.97 eV/cell. As for the total magnetization: 0.00 μB/f.u.

***

(5)
First-principles (PBE) data for an optimized crystal structure of CaSmAu4, as listed in Alexandria.

The structure belongs to space group Amm2 (No. 38); the cell edges are 5.364, 9.192 and 5.365 Å and the angles 90.00°, 90.00° and 90.00°. Symmetry generates all atoms from Ca at (0.000, 0.000, 0.000), Sm at (0.500, 0.000, 0.499), Au at (0.000, 0.167, 0.500) and Au at (0.500, 0.166, 0.999).

The energy above the most stable polymorph in this dataset is 0 meV per atom. The electronic total energy comes out at -48.64 eV/cell. The formation energy comes out at -0.75 eV per atom. As for the total magnetization: 0.00 μB/f.u.

***

(6)
First-principles (PBE) data for an optimized crystal structure of Ag3Hg2Au8, as listed in Alexandria.

The structure belongs to space group R-3m (No. 166, hexagonal axes); the cell edges are 5.4695, 5.4695 and 31.1429 Å and the angles 90.00°, 90.00° and 120.00°. Symmetry generates all atoms from Ag at (0.0000, 0.0000, 0.0000), Ag at (0.0000, 0.0000, 0.1826), Hg at (0.0000, 0.0000, 0.3593), Au at (0.0000, 0.0000, 0.2721) and Au at (0.0009, 0.5004, 0.7718).

The energy above the most stable polymorph in this dataset is 20 meV per atom. The electronic total energy comes out at -102.12 eV/cell. The formation energy comes out at 0.10 eV per atom. As for the total magnetization: 0.00 μB/f.u.

***

(7)
First-principles (PBE) data for an optimized crystal structure of Dy8Tm6Zr, as listed in Alexandria.

The structure belongs to space group P-3 (No. 147); the cell edges are 9.6743, 9.6743 and 5.7291 Å and the angles 90.00°, 90.00° and 120.00°. Symmetry generates all atoms from Dy at (0.0512, 0.7803, 0.2649), Dy at (0.3333, 0.6667, 0.2640), Tm at (0.0931, 0.6199, 0.7528) and Zr at (0.0000, 0.0000, 0.0000).

The electronic total energy comes out at -69.84 eV/cell. The formation energy comes out at 0.16 eV per atom. As for the total magnetization: 0.00 μB/f.u.

***

(8)
First-principles (PBE) data for an optimized crystal structure of Zr2ScSe, as listed in Alexandria.

The structure belongs to space group F-43m (No. 216); the cell edges are 6.924, 6.924 and 6.924 Å and the angles 90.00°, 90.00° and 90.00°. Symmetry generates all atoms from Zr at (0.000, 0.000, 0.000), Zr at (0.250, 0.250, 0.250), Sc at (0.000, 0.000, 0.500) and Se at (0.250, 0.250, 0.750).

The value obtained for the uncorrected formation energy is -0.077 eV/atom. The electronic total energy comes out at -108.88 eV/cell. As for the total magnetization: 0.50 μB/f.u.